Entry 1:
This record from Alexandria via LeMat-Bulk describes a crystal of SrHfPb3 relaxed with PBEsol. The functional is meta-GGA SCAN.

Summary:
- Formation enthalpy at 0 K: -247 meV/atom
- DOS(E_F): 0.409 states/eV/atom
- Space-group type: No. 221

```
SrHfPb3
1.0
5.560 0.000 0.000
0.000 5.560 0.000
0.000 0.000 5.560
Pb Sr Hf
3 1 1
Direct
0.000 0.500 0.000
0.000 0.000 0.500
0.500 0.000 0.000
0.500 0.500 0.500
0.000 0.000 0.000
```

=====

Entry 2:
This record from Alexandria via LeMat-Bulk describes a crystal of NbReS3 relaxed with PBEsol. The functional is meta-GGA SCAN.

Summary:
- Uncorrected formation energy: 745 meV/atom
- DOS(E_F): 0.319 states/eV/atom
- Space-group type: No. 221

```
NbReS3
1.0
-3.588 -0.744 3.016
3.104 -0.690 3.523
-0.114 4.636 1.009
Re Nb S
1 1 3
Direct
0.500 0.500 0.500
0.000 0.000 0.000
0.000 0.500 0.000
0.000 0.000 0.500
0.500 0.000 0.000
```

=====

Entry 3:
This record from Alexandria via LeMat-Bulk describes a crystal of YSb2As relaxed with PBEsol. The functional is meta-GGA SCAN.

Summary:
- Uncorrected formation energy: -519 meV/atom
- DOS(E_F): 0.313 states/eV/atom
- Space-group type: No. 10

```
YSb2As
1.0
4.083 0.000 0.000
0.000 4.267 0.032
0.000 -1.726 5.711
Y Sb As
1 2 1
Direct
0.500 0.500 0.500
0.000 0.939 0.247
0.000 0.061 0.753
0.500 0.500 0.000
```

=====

Entry 4:
This record from Alexandria via LeMat-Bulk describes a crystal of K2CaP2O7 relaxed with PBEsol. The functional is meta-GGA SCAN.

Summary:
- Uncorrected formation energy: -2797 meV/atom
- DOS(E_F): 0.000 states/eV/atom
- Space-group type: No. 14

```
K2CaP2O7
1.0
5.675 0.000 0.000
0.000 9.786 -0.009
0.000 -3.203 12.605
K Ca P O
8 4 8 28
Direct
0.733 0.355 0.821
0.237 0.875 0.866
0.767 0.855 0.321
0.267 0.645 0.179
0.263 0.375 0.366
0.763 0.125 0.134
0.737 0.625 0.634
0.233 0.145 0.679
0.238 0.749 0.480
0.262 0.249 0.980
0.762 0.251 0.520
0.738 0.751 0.020
0.755 0.529 0.358
0.255 0.971 0.142
0.780 0.447 0.125
0.720 0.947 0.625
0.280 0.053 0.375
0.220 0.553 0.875
0.745 0.029 0.858
0.245 0.471 0.642
0.604 0.354 0.051
0.707 0.420 0.241
0.255 0.895 0.365
0.104 0.146 0.449
0.793 0.920 0.741
0.967 0.607 0.893
0.207 0.080 0.259
0.240 0.570 0.568
0.745 0.105 0.635
0.457 0.372 0.624
0.740 0.930 0.932
0.033 0.393 0.107
0.896 0.854 0.551
0.543 0.628 0.376
0.010 0.397 0.649
0.490 0.897 0.149
0.043 0.872 0.124
0.990 0.603 0.351
0.293 0.580 0.759
0.510 0.103 0.851
0.533 0.107 0.393
0.396 0.646 0.949
0.467 0.893 0.607
0.755 0.605 0.135
0.260 0.070 0.068
0.760 0.430 0.432
0.245 0.395 0.865
0.957 0.128 0.876
```

=====

Entry 5:
This record from Alexandria via LeMat-Bulk describes a crystal of AlReSnO2 relaxed with PBEsol. The functional is meta-GGA SCAN.

Summary:
- Uncorrected formation energy: -547 meV/atom
- DOS(E_F): 0.686 states/eV/atom
- Space-group type: No. 123

```
AlReSnO2
1.0
3.820 0.000 0.000
0.000 3.820 0.000
0.000 0.000 5.736
Re Sn O Al
1 1 2 1
Direct
0.000 0.000 0.000
0.000 0.000 0.500
0.000 0.500 0.000
0.500 0.000 0.000
0.500 0.500 0.500
```

=====

Entry 6:
This record from Alexandria via LeMat-Bulk describes a crystal of Cs3FeF6 relaxed with PBEsol. The functional is meta-GGA SCAN.

Summary:
- Uncorrected formation energy: -2718 meV/atom
- Space-group type: No. 139

```
Cs3FeF6
1.0
6.342 0.000 0.000
-3.171 5.892 0.118
0.000 -3.519 5.276
Cs Fe F
3 1 6
Direct
0.250 0.500 0.750
0.750 0.500 0.250
0.500 0.000 0.500
0.000 0.000 0.000
0.000 0.000 0.291
0.000 0.000 0.709
0.709 0.000 0.000
0.291 0.000 0.000
0.806 0.612 0.806
0.194 0.388 0.194
```

=====

no.,volume (Å³/atom)
1,34.4
2,21.4
3,24.9
4,14.6
5,16.7
6,20.0